Here is a relaxed structure of CoPdSO from OQMD via LeMat-Bulk. Energies are from GGA+U.

The structure belongs to space group P2_12_12_1 (No. 19); the cell edges are 5.623, 5.934 and 8.183 Å and the angles 90.00°, 90.00° and 90.00°. The inequivalent atoms are Co at (0.048, 0.203, 0.102), Pd at (0.002, 0.915, 0.763), S at (0.181, 0.839, 0.188) and O at (0.126, 0.676, 0.601).

The raw total energy comes out at -0.1933 hartree per atom. The total magnetization comes out at 3.00 μB/f.u.